# GGA-PBEsol Zn4B2O7, optimized geometry
# - Total DFT energy (no corrections): -6.12 eV/atom
# - Spin magnetization: 0.00 μB per formula unit
data_Zn4B2O7
_chemical_formula_sum 'Zn12 B6 O21'
_space_group_name_H-M_alt 'P 1'
_space_group_IT_number 1
_cell_length_a 8.195
_cell_length_b 8.195
_cell_length_c 9.801
_cell_angle_alpha 66.93
_cell_angle_beta 66.93
_cell_angle_gamma 60.20
loop_
_space_group_symop_operation_xyz
'x,y,z'
loop_
_atom_site_label
_atom_site_type_symbol
_atom_site_fract_x
_atom_site_fract_y
_atom_site_fract_z
Zn1 Zn 0.436 0.354 0.666
Zn2 Zn 0.849 0.317 0.642
Zn3 Zn 0.821 0.929 0.660
Zn4 Zn 0.284 0.447 0.203
Zn5 Zn 0.312 0.855 0.161
Zn6 Zn 0.071 0.179 0.340
Zn7 Zn 0.923 0.790 0.170
Zn8 Zn 0.683 0.151 0.358
Zn9 Zn 0.646 0.564 0.334
Zn10 Zn 0.210 0.077 0.830
Zn11 Zn 0.145 0.688 0.839
Zn12 Zn 0.553 0.716 0.797
B1 B 0.253 0.268 0.004
B2 B 0.834 0.166 0.000
B3 B 0.732 0.747 0.996
B4 B 0.269 0.253 0.503
B5 B 0.240 0.760 0.500
B6 B 0.747 0.731 0.497
O1 O 0.813 0.303 0.321
O2 O 0.697 0.187 0.679
O3 O 0.282 0.406 0.871
O4 O 0.907 0.231 0.861
O5 O 0.245 0.103 0.003
O6 O 0.713 0.768 0.856
O7 O 0.232 0.287 0.144
O8 O 0.769 0.093 0.139
O9 O 0.897 0.755 0.997
O10 O 0.408 0.274 0.367
O11 O 0.594 0.718 0.129
O12 O 0.100 0.259 0.496
O13 O 0.217 0.902 0.366
O14 O 0.769 0.700 0.362
O15 O 0.300 0.231 0.638
O16 O 0.741 0.900 0.504
O17 O 0.409 0.591 0.500
O18 O 0.098 0.783 0.634
O19 O 0.726 0.592 0.633
O20 O 0.290 0.818 0.829
O21 O 0.182 0.710 0.171

=====

# GGA-PBEsol Zn2BO4, optimized geometry
# - Total DFT energy (no corrections): -6.03 eV/atom
# - Spin magnetization: 0.89 μB per formula unit
data_Zn2BO4
_chemical_formula_sum 'Zn8 B4 O16'
_space_group_name_H-M_alt 'P 1'
_space_group_IT_number 1
_cell_length_a 3.148
_cell_length_b 9.247
_cell_length_c 9.343
_cell_angle_alpha 90.00
_cell_angle_beta 90.00
_cell_angle_gamma 90.00
loop_
_space_group_symop_operation_xyz
'x,y,z'
loop_
_atom_site_label
_atom_site_type_symbol
_atom_site_fract_x
_atom_site_fract_y
_atom_site_fract_z
Zn1 Zn 0.250 0.069 0.121
Zn2 Zn 0.750 0.931 0.879
Zn3 Zn 0.750 0.569 0.379
Zn4 Zn 0.250 0.431 0.621
Zn5 Zn 0.250 0.694 0.106
Zn6 Zn 0.750 0.306 0.894
Zn7 Zn 0.750 0.194 0.394
Zn8 Zn 0.250 0.806 0.606
B1 B 0.250 0.378 0.161
B2 B 0.750 0.622 0.839
B3 B 0.750 0.878 0.339
B4 B 0.250 0.122 0.661
O1 O 0.250 0.251 0.241
O2 O 0.750 0.749 0.759
O3 O 0.750 0.751 0.259
O4 O 0.250 0.249 0.741
O5 O 0.250 0.510 0.230
O6 O 0.750 0.490 0.770
O7 O 0.750 0.010 0.270
O8 O 0.250 0.990 0.730
O9 O 0.250 0.372 0.015
O10 O 0.750 0.628 0.985
O11 O 0.750 0.872 0.485
O12 O 0.250 0.128 0.515
O13 O 0.250 0.616 0.513
O14 O 0.750 0.384 0.487
O15 O 0.750 0.116 0.987
O16 O 0.250 0.884 0.013

=====

# GGA-PBEsol ZnB4O7, optimized geometry
# - Total DFT energy (no corrections): -7.83 eV/atom
# - Spin magnetization: 0.00 μB per formula unit
data_ZnB4O7
_chemical_formula_sum 'Zn2 B8 O14'
_space_group_name_H-M_alt 'P 1'
_space_group_IT_number 1
_cell_length_a 5.173
_cell_length_b 6.308
_cell_length_c 6.308
_cell_angle_alpha 61.88
_cell_angle_beta 90.00
_cell_angle_gamma 90.00
loop_
_space_group_symop_operation_xyz
'x,y,z'
loop_
_atom_site_label
_atom_site_type_symbol
_atom_site_fract_x
_atom_site_fract_y
_atom_site_fract_z
Zn1 Zn 0.750 0.234 0.766
Zn2 Zn 0.250 0.766 0.234
B1 B 0.500 0.702 0.702
B2 B 0.000 0.298 0.298
B3 B 0.000 0.702 0.702
B4 B 0.250 0.073 0.692
B5 B 0.250 0.308 0.927
B6 B 0.500 0.298 0.298
B7 B 0.750 0.692 0.073
B8 B 0.750 0.927 0.308
O1 O 0.250 0.077 0.923
O2 O 0.978 0.811 0.444
O3 O 0.750 0.923 0.077
O4 O 0.022 0.189 0.556
O5 O 0.478 0.444 0.811
O6 O 0.250 0.244 0.197
O7 O 0.522 0.811 0.444
O8 O 0.978 0.556 0.189
O9 O 0.750 0.197 0.244
O10 O 0.022 0.444 0.811
O11 O 0.250 0.803 0.756
O12 O 0.522 0.556 0.189
O13 O 0.750 0.756 0.803
O14 O 0.478 0.189 0.556

=====

# GGA-PBEsol ZrBO2, optimized geometry
# - Total DFT energy (no corrections): -8.27 eV/atom
# - Spin magnetization: 0.00 μB per formula unit
data_ZrBO2
_chemical_formula_sum 'Zr1 B1 O2'
_space_group_name_H-M_alt 'P 1'
_space_group_IT_number 1
_cell_length_a 2.987
_cell_length_b 2.987
_cell_length_c 6.021
_cell_angle_alpha 75.64
_cell_angle_beta 75.64
_cell_angle_gamma 60.00
loop_
_space_group_symop_operation_xyz
'x,y,z'
loop_
_atom_site_label
_atom_site_type_symbol
_atom_site_fract_x
_atom_site_fract_y
_atom_site_fract_z
B1 B 0.000 0.000 0.000
O1 O 0.923 0.923 0.231
O2 O 0.077 0.077 0.769
Zr1 Zr 0.500 0.500 0.500

=====

# GGA-PBEsol BOs, optimized geometry
# - Spin magnetization: 0.00 μB per formula unit
# - Energy of formation from the pure elements: -270 meV/atom
data_BOs
_chemical_formula_sum 'B1 Os1'
_space_group_name_H-M_alt 'P 1'
_space_group_IT_number 1
_cell_length_a 2.863
_cell_length_b 2.876
_cell_length_c 2.876
_cell_angle_alpha 120.00
_cell_angle_beta 90.00
_cell_angle_gamma 90.00
loop_
_space_group_symop_operation_xyz
'x,y,z'
loop_
_atom_site_label
_atom_site_type_symbol
_atom_site_fract_x
_atom_site_fract_y
_atom_site_fract_z
B1 B 0.500 0.000 0.000
Os1 Os 0.000 0.333 0.667

=====

# GGA-PBEsol B3Os2, optimized geometry
# - Spin magnetization: 0.00 μB per formula unit
# - Energy of formation from the pure elements: -293 meV/atom
data_B3Os2
_chemical_formula_sum 'B6 Os4'
_space_group_name_H-M_alt 'P 1'
_space_group_IT_number 1
_cell_length_a 2.923
_cell_length_b 2.923
_cell_length_c 12.854
_cell_angle_alpha 90.00
_cell_angle_beta 90.00
_cell_angle_gamma 120.00
loop_
_space_group_symop_operation_xyz
'x,y,z'
loop_
_atom_site_label
_atom_site_type_symbol
_atom_site_fract_x
_atom_site_fract_y
_atom_site_fract_z
B1 B 0.667 0.333 0.250
B2 B 0.333 0.667 0.750
B3 B 0.333 0.667 0.531
B4 B 0.667 0.333 0.031
B5 B 0.333 0.667 0.969
B6 B 0.667 0.333 0.469
Os1 Os 0.333 0.667 0.360
Os2 Os 0.667 0.333 0.860
Os3 Os 0.667 0.333 0.640
Os4 Os 0.333 0.667 0.140